# MgIr2Ru

MgIr2Ru after structural relaxation (PBE-GGA, Alexandria).

extended XYZ file:
```
4
Lattice="2.770 0.000 0.000 0.000 3.867 0.000 0.000 0.000 5.539" Properties=species:S:1:pos:R:3 pbc="T T T"
Mg 0.000 0.000 0.000
Ir 0.000 0.000 2.734
Ir 1.385 1.933 4.194
Ru 1.385 1.933 1.500
```

Results
Electronic total energy   -28.6 eV/f.u.
Energy of formation from the pure elements   -8.5 meV per atom